VASP calculation (GGA+U) on MnCuAgF6 after structural relaxation.

Lattice parameters (Å, degrees): 4.933 4.933 9.907 90.00 90.00 90.00
Positions (direct):
1 Mn 0.000 0.000 0.000
2 Mn 0.500 0.500 0.500
3 Cu 0.000 0.000 0.339
4 Cu 0.500 0.500 0.839
5 Ag 0.000 0.000 0.670
6 Ag 0.500 0.500 0.170
7 F 0.179 0.179 0.172
8 F 0.214 0.214 0.481
9 F 0.218 0.218 0.857
10 F 0.282 0.718 0.357
11 F 0.286 0.714 0.981
12 F 0.321 0.679 0.672
13 F 0.679 0.321 0.672
14 F 0.714 0.286 0.981
15 F 0.718 0.282 0.357
16 F 0.782 0.782 0.857
17 F 0.786 0.786 0.481
18 F 0.821 0.821 0.172

Summary:
- E_tot (eV/atom) = -4.65
- total magnetization (μB/f.u.) = 3.0